No. 1
RbPBr3 after structural relaxation. Source: Alexandria, functional PBE.

Structure (POSCAR):
```
RbPBr3
1.0
6.745 0.000 0.000
-0.005 6.997 0.000
-2.440 -2.824 8.770
Rb P Br
2 2 6
direct
0.237 0.245 0.484
0.763 0.755 0.516
0.442 0.933 0.871
0.558 0.067 0.129
0.170 0.124 0.852
0.246 0.734 0.461
0.296 0.652 0.884
0.704 0.348 0.116
0.754 0.266 0.539
0.830 0.876 0.148
```

Summary:
Its space group is No. 2. For the energy relative to the elements, uncorrected, the calculation gives -0.838 eV per atom. The final energy is -3.12 eV/atom.


No. 2
CaGe2Pd2Pt after structural relaxation. Source: Alexandria, functional PBE.

Structure (POSCAR):
```
CaGe2Pd2Pt
1.0
4.754 0.000 0.000
0.000 4.754 0.000
0.000 0.000 5.610
Ca Ge Pd Pt
1 2 2 1
direct
0.000 0.000 0.000
0.000 0.500 0.500
0.500 0.000 0.500
0.500 0.500 0.249
0.500 0.500 0.751
0.000 0.000 0.500
```

Summary:
Its space group is No. 123. The formation energy comes out at -0.354 eV/atom. The final energy is -4.96 eV/atom.


No. 3
Sr2Ge3Pd5 after structural relaxation. Source: Alexandria, functional PBE.

Structure (POSCAR):
```
Sr2Ge3Pd5
1.0
-4.887 6.333 3.309
4.887 -6.333 3.309
4.887 6.333 -3.309
Sr Ge Pd
4 6 10
direct
0.132 0.249 0.381
0.368 0.749 0.117
0.632 0.251 0.883
0.868 0.751 0.619
0.122 0.620 0.742
0.250 0.250 0.000
0.378 0.120 0.499
0.622 0.880 0.501
0.750 0.750 0.000
0.878 0.380 0.258
0.015 0.750 0.265
0.112 0.875 0.987
0.250 0.750 0.500
0.388 0.375 0.763
0.485 0.750 0.735
0.515 0.250 0.265
0.612 0.625 0.237
0.750 0.250 0.500
0.888 0.125 0.013
0.985 0.250 0.735
```

Summary:
Its space group is No. 72. The formation energy comes out at -0.670 eV/atom. The final energy is -4.99 eV/atom.


No. 4
Cd4Pd3Au after structural relaxation. Source: Alexandria, functional PBE.

Structure (POSCAR):
```
Cd4Pd3Au
1.0
3.283 0.000 0.000
0.000 3.283 0.000
0.000 0.000 13.387
Cd Pd Au
4 3 1
direct
0.000 0.000 0.121
0.000 0.000 0.366
0.000 0.000 0.634
0.000 0.000 0.879
0.500 0.500 0.000
0.500 0.500 0.243
0.500 0.500 0.757
0.500 0.500 0.500
```

Summary:
Its space group is No. 123. The formation energy comes out at -0.344 eV/atom. The final energy is -3.16 eV/atom.


No. 5
Pm2PaGe after structural relaxation. Source: Alexandria, functional PBE.

Structure (POSCAR):
```
Pm2PaGe
1.0
3.819 0.000 0.000
0.000 3.819 0.000
0.000 0.000 7.146
Pm Pa Ge
2 1 1
direct
0.000 0.000 0.218
0.000 0.000 0.782
0.500 0.500 0.500
0.500 0.500 0.000
```

Summary:
Its space group is No. 123. The formation energy comes out at -0.164 eV/atom. The final energy is -6.07 eV/atom.


No. 6
Tb3Zn9Ir2 after structural relaxation. Source: Alexandria, functional PBE.

Structure (POSCAR):
```
Tb3Zn9Ir2
1.0
-2.154 4.481 6.435
2.154 -4.481 6.435
2.154 4.481 -6.435
Tb Zn Ir
3 9 2
direct
0.000 0.000 0.000
0.310 0.310 0.000
0.690 0.690 0.000
0.026 0.666 0.360
0.152 0.873 0.279
0.307 0.666 0.640
0.407 0.127 0.279
0.500 0.000 0.500
0.593 0.873 0.721
0.693 0.334 0.360
0.848 0.127 0.721
0.974 0.334 0.640
0.309 0.500 0.809
0.691 0.500 0.191
```

Summary:
Its space group is No. 71. The formation energy comes out at -0.407 eV/atom. The final energy is -3.48 eV/atom.


Among the records above, which one has the lowest final energy?
Pm2PaGe


Number 3 is which compound?
Sr2Ge3Pd5


Please write out number 1 again, unchanged.
RbPBr3 after structural relaxation. Source: Alexandria, functional PBE.

Structure (POSCAR):
```
RbPBr3
1.0
6.745 0.000 0.000
-0.005 6.997 0.000
-2.440 -2.824 8.770
Rb P Br
2 2 6
direct
0.237 0.245 0.484
0.763 0.755 0.516
0.442 0.933 0.871
0.558 0.067 0.129
0.170 0.124 0.852
0.246 0.734 0.461
0.296 0.652 0.884
0.704 0.348 0.116
0.754 0.266 0.539
0.830 0.876 0.148
```

Summary:
Its space group is No. 2. For the energy relative to the elements, uncorrected, the calculation gives -0.838 eV per atom. The final energy is -3.12 eV/atom.